1.
# PrLu2Pu PBE optimized geometry
data_PrLu2Pu
_space_group_name_H-M_alt 'F m -3 m'
_space_group_IT_number 225
_space_group_name_Hall '-F 4 2 3'
_cell_length_a 7.897
_cell_length_b 7.897
_cell_length_c 7.897
_cell_angle_alpha 90.00
_cell_angle_beta 90.00
_cell_angle_gamma 90.00
loop_
_atom_site_label
_atom_site_type_symbol
_atom_site_fract_x
_atom_site_fract_y
_atom_site_fract_z
Pr1 Pr 0.000 0.000 0.000
Lu1 Lu 0.250 0.250 0.250
Pu1 Pu 0.000 0.000 0.500
# total magnetic moment: 23.792 μB per cell
# uncorrected energy: -6.854 eV/atom
# ΔH_f (0 K): 0.74 eV/f.u.
# offset from the most stable computed form: 4 meV per atom

=====

2.
# B3TeRh PBE optimized geometry
data_B3TeRh
_space_group_name_H-M_alt 'P m -3 m'
_space_group_IT_number 221
_space_group_name_Hall '-P 4 2 3'
_cell_length_a 4.194
_cell_length_b 4.194
_cell_length_c 4.194
_cell_angle_alpha 90.00
_cell_angle_beta 90.00
_cell_angle_gamma 90.00
loop_
_atom_site_label
_atom_site_type_symbol
_atom_site_fract_x
_atom_site_fract_y
_atom_site_fract_z
B1 B 0.000 0.000 0.500
Te1 Te 0.500 0.500 0.500
Rh1 Rh 0.000 0.000 0.000
# total magnetic moment: 0.000 μB per cell
# uncorrected energy: -4.901 eV/atom
# offset from the most stable computed form: 0 meV per atom

=====

3.
# TlSbSe2 PBE optimized geometry
data_TlSbSe2
_space_group_name_H-M_alt 'P 4 m m'
_space_group_IT_number 99
_cell_length_a 4.156
_cell_length_b 4.156
_cell_length_c 7.662
_cell_angle_alpha 90.00
_cell_angle_beta 90.00
_cell_angle_gamma 90.00
loop_
_space_group_symop_operation_xyz
'x,y,z'
'-y,x,z'
'-x,-y,z'
'y,-x,z'
'-x,y,z'
'y,x,z'
'x,-y,z'
'-y,-x,z'
loop_
_atom_site_label
_atom_site_type_symbol
_atom_site_fract_x
_atom_site_fract_y
_atom_site_fract_z
Tl1 Tl 0.000 0.000 0.000
Sb1 Sb 0.500 0.500 0.522
Se1 Se 0.000 0.000 0.461
Se2 Se 0.500 0.500 0.851
# total magnetic moment: 0.000 μB per cell
# uncorrected energy: -3.660 eV/atom